Density functional theory data (PBE) for CaTbZnPd after structural relaxation.

a = 4.2676 Å, b = 3.9736 Å, c = 11.3405 Å
α = 90.00°, β = 90.00°, γ = 90.00°
Sites, in units of the cell vectors:
Ca 0.0000 0.0000 0.0000
Ca 0.0000 0.5000 0.5000
Tb 0.5000 0.0000 0.2859
Tb 0.5000 0.5000 0.7859
Zn 0.5000 0.0000 0.5759
Zn 0.5000 0.5000 0.0759
Pd 0.0000 0.0000 0.7236
Pd 0.0000 0.5000 0.2236

Calculated values
volume	24.04	Å³ per atom
magnetic moment	0.0	μB per formula unit
N(E_F)	0.705	states/eV/atom
energy above the lowest structure with this stoichiometry	0.000	eV per atom